a:
Entry from Alexandria via LeMat-Bulk: a relaxed structure of CsSr2H2 (PBE).

Cell: 4.9935 4.9935 8.4053 Å, 72.72 72.72 90.00°
Last column: magnetic moment on the atom in μB.
Fractional positions:
Sr: 0.2500 0.7500 0.5000  0.05
Sr: 0.7500 0.2500 0.5000  0.05
Cs: 0.0000 0.0000 0.0000  0.02
H: 0.7947 0.7947 0.4106  0.00
H: 0.2053 0.2053 0.5894  0.00

- Total moment: 0.9 μB per cell

---

b:
Entry from Alexandria via LeMat-Bulk: a relaxed structure of CsSr2H2 (PBE).

Cell: 8.9978 8.9978 4.8040 Å, 90.00 90.00 90.00°
Fractional positions:
H: 0.7062 0.7938 0.0000
H: 0.2938 0.2062 0.0000
H: 0.7938 0.2938 0.0000
H: 0.2062 0.7062 0.0000
Cs: 0.0000 0.0000 0.0000
Cs: 0.5000 0.5000 0.0000
Sr: 0.3310 0.1690 0.5000
Sr: 0.6690 0.8310 0.5000
Sr: 0.8310 0.3310 0.5000
Sr: 0.1690 0.6690 0.5000

- Total moment: 0.0 μB per cell

---

Pick the least stable structure from those above. Pick: b